## Pm2NdSm6Y3 (GGA-PBE)

Data for a geometry-optimized Pm2NdSm6Y3 structure.

a = 6.282 Å, b = 6.282 Å, c = 11.998 Å
α = 95.00°, β = 95.00°, γ = 120.01°
Fractional positions:
Pm (0.167, 0.833, 0.000)
Pm (0.833, 0.167, 0.000)
Nd (0.500, 0.500, 0.000)
Sm (0.082, 0.416, 0.747)
Sm (0.251, 0.251, 0.253)
Sm (0.416, 0.082, 0.747)
Sm (0.584, 0.918, 0.253)
Sm (0.749, 0.749, 0.747)
Sm (0.918, 0.584, 0.253)
Y (0.000, 0.000, 0.500)
Y (0.333, 0.667, 0.500)
Y (0.667, 0.333, 0.500)

Calculated values
As for the crystal system: monoclinic. The calculation puts the total energy at -5.15 eV/atom. The density is 6.594 g/cm3. As for the space-group type: C2/m.